# 1
! NaSi2BH2O7, relaxed, DFT GGA-PBEsol; values from VASP
&SYSTEM
  ibrav = 0, nat = 26, ntyp = 5
/
ATOMIC_SPECIES
Na 22.99 Na.upf
Si 28.09 Si.upf
B 10.81 B.upf
H 1.01 H.upf
O 16.00 O.upf
ATOMIC_POSITIONS crystal
Na 0.0231 0.0000 0.0105
Na 0.9769 0.5000 0.9895
Si 0.1905 0.6247 0.3855
Si 0.2502 0.0524 0.4379
Si 0.7498 0.5524 0.5621
Si 0.8095 0.1247 0.6145
B 0.2258 0.3270 0.2174
B 0.7742 0.8270 0.7826
H 0.1929 0.7239 0.8243
H 0.4568 0.7472 0.9252
H 0.5432 0.2472 0.0748
H 0.8071 0.2239 0.1757
O 0.0788 0.0678 0.5618
O 0.1634 0.2227 0.3304
O 0.1929 0.8516 0.3573
O 0.2054 0.5244 0.2366
O 0.2582 0.7405 0.9236
O 0.2722 0.2535 0.1002
O 0.4406 0.5656 0.5011
O 0.5594 0.0656 0.4989
O 0.7278 0.7535 0.8998
O 0.7418 0.2405 0.0764
O 0.7946 0.0244 0.7634
O 0.8071 0.3516 0.6427
O 0.8366 0.7227 0.6696
O 0.9212 0.5678 0.4382
CELL_PARAMETERS angstrom
5.2194 0.0000 0.0000
0.0000 7.0722 0.0000
-1.6470 0.0000 9.6237
! Energy   -7.055 eV/atom
! SG   P2_1 (4)
! Magnetic moment   0.12 Bohr magnetons per cell

***

# 2
! NaVS2, relaxed, DFT GGA-PBEsol; values from VASP
&SYSTEM
  ibrav = 0, nat = 4, ntyp = 3
/
ATOMIC_SPECIES
Na 22.99 Na.upf
V 50.94 V.upf
S 32.06 S.upf
ATOMIC_POSITIONS crystal
Na 0.0000 0.0000 0.0000
V 0.5000 0.5000 0.5000
S 0.2345 0.2345 0.2345
S 0.7655 0.7655 0.7655
CELL_PARAMETERS angstrom
1.7629 1.0178 6.4864
-1.7629 1.0178 6.4864
0.0000 -2.0356 6.4864
! Energy   -5.985 eV/atom
! SG   R-3m (166)
! Magnetic moment   2.00 Bohr magnetons per cell

***

Q: Look up the energy of the first one.
A: -7.055 eV/atom

***

Q: Which value of energy does entry 1 give?
A: -7.055 eV/atom

***

Q: Which of these has the lowest energy?
A: NaSi2BH2O7